(1)
A plane-wave DFT calculation with PBE was carried out for a relaxed structure of CdCoOsPb.

## Properties
Total magnetization ... 0.0 μB/f.u.

Cell lengths 6.469, 6.469, 6.469 Å; angles 90.00, 90.00, 90.00 degrees
Space group F-43m (No. 216)
Asymmetric unit:
Cd  0.000  0.000  0.000 [4 per cell]
Co  0.250  0.250  0.750 [4 per cell]
Os  0.250  0.250  0.250 [4 per cell]
Pb  0.000  0.000  0.500 [4 per cell]

---

(2)
A plane-wave DFT calculation with PBE was carried out for a relaxed structure of CdCoSbOs.

## Properties
Total magnetization ... 0.5 μB/f.u.

Cell lengths 6.376, 6.376, 6.376 Å; angles 90.00, 90.00, 90.00 degrees
Space group F-43m (No. 216)
Asymmetric unit:
Cd  0.000  0.000  0.000 [4 per cell]
Co  0.250  0.250  0.750 [4 per cell]
Sb  0.000  0.000  0.500 [4 per cell]
Os  0.250  0.250  0.250 [4 per cell]

---

(3)
A plane-wave DFT calculation with PBE was carried out for a relaxed structure of TlCdCoOs.

## Properties
Total magnetization ... 1.2 μB/f.u.

Cell lengths 6.456, 6.456, 6.456 Å; angles 90.00, 90.00, 90.00 degrees
Space group F-43m (No. 216)
Asymmetric unit:
Tl  0.000  0.000  0.000 [4 per cell]
Cd  0.000  0.000  0.500 [4 per cell]
Co  0.250  0.250  0.250 [4 per cell]
Os  0.250  0.250  0.750 [4 per cell]

---

(4)
A plane-wave DFT calculation with PBE was carried out for a relaxed structure of CdCoPdPb.

## Properties
Total magnetization ... 1.3 μB/f.u.

Cell lengths 6.587, 6.587, 6.587 Å; angles 90.00, 90.00, 90.00 degrees
Space group F-43m (No. 216)
Asymmetric unit:
Cd  0.000  0.000  0.000 [4 per cell]
Co  0.250  0.250  0.750 [4 per cell]
Pd  0.250  0.250  0.250 [4 per cell]
Pb  0.000  0.000  0.500 [4 per cell]

---

(5)
A plane-wave DFT calculation with PBE was carried out for a relaxed structure of CdCoRePb.

## Properties
Total magnetization ... 0.8 μB/f.u.

Cell lengths 6.524, 6.524, 6.524 Å; angles 90.00, 90.00, 90.00 degrees
Space group F-43m (No. 216)
Asymmetric unit:
Cd  0.000  0.000  0.000 [4 per cell]
Co  0.250  0.250  0.750 [4 per cell]
Re  0.250  0.250  0.250 [4 per cell]
Pb  0.000  0.000  0.500 [4 per cell]

---

(6)
A plane-wave DFT calculation with PBE was carried out for a relaxed structure of ScCdCoPb.

## Properties
Total magnetization ... 0.3 μB/f.u.

Cell lengths 6.755, 6.755, 6.755 Å; angles 90.00, 90.00, 90.00 degrees
Space group F-43m (No. 216)
Asymmetric unit:
Sc  0.000  0.000  0.000 [4 per cell]
Cd  0.250  0.250  0.250 [4 per cell]
Co  0.250  0.250  0.750 [4 per cell]
Pb  0.000  0.000  0.500 [4 per cell]

---

Number 1: VASP energy -5.000 eV per atom, E above lowest polymorph 0 meV/atom. Number 2: VASP energy -5.375 eV per atom, E above lowest polymorph 0 meV/atom. Number 3: VASP energy -4.576 eV per atom, E above lowest polymorph 0 meV/atom. Number 4: VASP energy -4.106 eV per atom, E above lowest polymorph 0 meV/atom. Number 5: VASP energy -5.108 eV per atom, E above lowest polymorph 0 meV/atom. Number 6: VASP energy -4.378 eV per atom, E above lowest polymorph 73 meV/atom.